1.
Below is an optimized crystal structure of Ta6Nb2Tc, with properties calculated at the PBE level.

## Properties
Electronic total energy in eV per cell: -95.375
Space-group type: C2/m
Energy above the most stable polymorph in this dataset in meV/atom: 677
Total moment in μB/f.u.: 0.00
Volume in Å³/cell: 187.9

abc: 7.722 7.722 4.432
angles: 106.52 106.52 48.44
Fractional positions:
1 Ta 0.081 0.591 0.336
2 Ta 0.240 0.760 0.000
3 Ta 0.409 0.919 0.664
4 Ta 0.591 0.081 0.336
5 Ta 0.760 0.240 0.000
6 Ta 0.919 0.409 0.664
7 Nb 0.335 0.335 0.835
8 Nb 0.665 0.665 0.165
9 Tc 0.000 0.000 0.500



2.
Below is an optimized crystal structure of Pm7Ag4Sn, with properties calculated at the PBE level.

## Properties
Electronic total energy in eV per cell: -50.427
Space-group type: C2/m
Total moment in μB/f.u.: 0.00
Volume in Å³/cell: 343.9

abc: 7.912 7.912 9.304
angles: 118.34 118.34 43.38
Fractional positions:
1 Pm 0.000 0.000 0.000
2 Pm 0.229 0.229 0.694
3 Pm 0.323 0.323 0.119
4 Pm 0.423 0.423 0.593
5 Pm 0.577 0.577 0.407
6 Pm 0.677 0.677 0.881
7 Pm 0.771 0.771 0.306
8 Ag 0.022 0.022 0.679
9 Ag 0.190 0.190 0.342
10 Ag 0.810 0.810 0.658
11 Ag 0.978 0.978 0.321
12 Sn 0.500 0.500 0.000



3.
Below is an optimized crystal structure of Hf2ScNbCd, with properties calculated at the PBE level.

## Properties
Electronic total energy in eV per cell: -30.737
Space-group type: P4/mmm
Total moment in μB/f.u.: 0.64
Volume in Å³/cell: 121.5

abc: 5.092 5.092 4.687
angles: 90.00 90.00 90.00
Fractional positions:
1 Hf 0.000 0.500 0.000
2 Hf 0.500 0.000 0.000
3 Sc 0.000 0.000 0.000
4 Nb 0.000 0.000 0.500
5 Cd 0.500 0.500 0.500



4.
Below is an optimized crystal structure of LaFe2AgIr, with properties calculated at the PBE level.

## Properties
Electronic total energy in eV per cell: -23.987
Space-group type: P4/mmm
Total moment in μB/f.u.: 3.93
Volume in Å³/cell: 104.9

abc: 4.472 4.472 5.244
angles: 90.00 90.00 90.00
Fractional positions:
1 La 0.000 0.000 0.000
2 Fe 0.000 0.500 0.000
3 Fe 0.500 0.000 0.000
4 Ag 0.000 0.000 0.500
5 Ir 0.500 0.500 0.500



Q: total moment of number 3 (Hf2ScNbCd)?
A: 0.64 μB/f.u.



What did the second record say?
Below is an optimized crystal structure of Pm7Ag4Sn, with properties calculated at the PBE level.

## Properties
Electronic total energy in eV per cell: -50.427
Space-group type: C2/m
Total moment in μB/f.u.: 0.00
Volume in Å³/cell: 343.9

abc: 7.912 7.912 9.304
angles: 118.34 118.34 43.38
Fractional positions:
1 Pm 0.000 0.000 0.000
2 Pm 0.229 0.229 0.694
3 Pm 0.323 0.323 0.119
4 Pm 0.423 0.423 0.593
5 Pm 0.577 0.577 0.407
6 Pm 0.677 0.677 0.881
7 Pm 0.771 0.771 0.306
8 Ag 0.022 0.022 0.679
9 Ag 0.190 0.190 0.342
10 Ag 0.810 0.810 0.658
11 Ag 0.978 0.978 0.321
12 Sn 0.500 0.500 0.000



Q: Which value of electronic total energy does entry 4 give?
A: -23.987 eV per cell